Record 1
VASP calculation (PBE) on a relaxed POsRh2 crystal.

Structure (POSCAR):
```
POsRh2
1.0
4.5847 0.0000 0.0000
0.0000 4.5847 0.0000
0.0000 0.0000 2.7053
Os Rh P
1 2 1
direct
0.5000 0.5000 0.5000 Os
0.0000 0.5000 0.0000 Rh
0.5000 0.0000 0.0000 Rh
0.0000 0.0000 0.5000 P
```

Values from the calculation:
ΔE_f: 25 kJ/mol of atoms
SG: No. 123
Crystal system: tetragonal
Total magnetization: 0.00 μB per formula unit


Record 2
VASP calculation (PBE) on a relaxed TlAgGe crystal.

Structure (POSCAR):
```
TlAgGe
1.0
4.1631 -2.4036 0.0000
0.0000 4.8071 0.0000
0.0000 0.0000 10.6940
Tl Ge Ag
2 2 2
direct
0.0000 0.0000 0.2500 Tl
0.0000 0.0000 0.7500 Tl
0.0000 0.0000 0.5000 Ge
0.0000 0.0000 0.0000 Ge
0.3333 0.6667 0.2500 Ag
0.6667 0.3333 0.7500 Ag
```

Values from the calculation:
ΔE_f: 89 kJ/mol of atoms
SG: No. 194
Crystal system: hexagonal
Total magnetization: 0.00 μB per formula unit


Record 3
VASP calculation (PBE) on a relaxed Li2GaH6 crystal.

Structure (POSCAR):
```
Li2GaH6
1.0
3.9465 0.0000 2.2785
1.3155 3.7208 2.2785
0.0000 0.0000 4.5571
H Li Ga
6 2 1
direct
0.2692 0.7308 0.2692 H
0.7308 0.2692 0.2692 H
0.2692 0.2692 0.7308 H
0.7308 0.7308 0.2692 H
0.2692 0.7308 0.7308 H
0.7308 0.2692 0.7308 H
0.7500 0.7500 0.7500 Li
0.2500 0.2500 0.2500 Li
0.0000 0.0000 0.0000 Ga
```

Values from the calculation:
VASP energy: -25.8 eV for the cell shown
SG: No. 225
Crystal system: cubic
Total magnetization: 0.00 μB per formula unit


Record 4
VASP calculation (PBE) on a relaxed Sr2SiBr crystal.

Structure (POSCAR):
```
Sr2SiBr
1.0
7.0103 0.0000 0.0000
0.0000 7.0103 0.0000
3.5052 3.5052 7.3551
Sr Si Br
4 2 2
direct
0.8750 0.8559 0.7500 Sr
0.1441 0.6250 0.2500 Sr
0.6059 0.1250 0.2500 Sr
0.3750 0.3941 0.7500 Sr
0.5000 0.5000 0.0000 Si
0.2500 0.7500 0.5000 Si
0.7500 0.2500 0.5000 Br
0.0000 0.0000 0.0000 Br
```

Values from the calculation:
VASP energy: -25.9 eV for the cell shown
SG: No. 122
Crystal system: tetragonal
Total magnetization: 1.00 μB per formula unit


Record 5
VASP calculation (PBE) on a relaxed Pr3In3Ag crystal.

Structure (POSCAR):
```
Pr3In3Ag
1.0
-2.7477 3.0313 -2.5006
-6.1167 -0.8945 1.0395
-1.2904 10.9817 10.1333
Pr Ag In
6 2 6
direct
0.6011 0.7203 0.0775 Pr
0.4594 0.6972 0.3840 Pr
0.3989 0.2797 0.9225 Pr
0.2626 0.2468 0.2281 Pr
0.7374 0.7532 0.7719 Pr
0.5406 0.3028 0.6160 Pr
0.2436 0.9040 0.6088 Ag
0.7564 0.0960 0.3912 Ag
0.1158 0.8443 0.9241 In
0.1331 0.2787 0.4550 In
0.9749 0.8174 0.2328 In
0.8842 0.1557 0.0759 In
0.8669 0.7213 0.5450 In
0.0251 0.1826 0.7672 In
```

Values from the calculation:
ΔE_f: -41 kJ/mol of atoms
SG: No. 12
Crystal system: monoclinic
Total magnetization: 0.00 μB per formula unit


Record 6
VASP calculation (PBE) on a relaxed CsTe2As2 crystal.

Structure (POSCAR):
```
CsTe2As2
1.0
9.7276 0.0000 0.0000
0.0000 9.7276 0.0000
0.0000 0.0000 3.8570
Cs Te As
2 4 4
direct
0.5000 0.5000 0.0000 Cs
0.0000 0.0000 0.0000 Cs
0.2161 0.7161 0.5000 Te
0.2839 0.2161 0.5000 Te
0.7161 0.7839 0.5000 Te
0.7839 0.2839 0.5000 Te
0.3484 0.8484 0.0000 As
0.1516 0.3484 0.0000 As
0.6516 0.1516 0.0000 As
0.8484 0.6516 0.0000 As
```

Values from the calculation:
VASP energy: -34.4 eV for the cell shown
SG: No. 127
Crystal system: tetragonal
Total magnetization: 0.00 μB per formula unit


Record 7
VASP calculation (PBE) on a relaxed LiCaPmZn crystal.

Structure (POSCAR):
```
LiCaPmZn
1.0
3.7516 0.0000 0.0000
0.0000 3.7516 0.0000
0.0000 0.0000 7.6002
Ca Li Pm Zn
1 1 1 1
direct
0.5000 0.5000 0.5900 Ca
0.0000 0.0000 0.8649 Li
0.5000 0.5000 0.1296 Pm
0.0000 0.0000 0.3436 Zn
```

Values from the calculation:
ΔE_f: -11 kJ/mol of atoms
SG: No. 99
Crystal system: tetragonal
Total magnetization: 0.31 μB per formula unit


Record 8
VASP calculation (PBE) on a relaxed La3SnC crystal.

Structure (POSCAR):
```
La3SnC
1.0
-2.1526 -5.0187 1.0497
1.5482 0.4491 5.3221
-10.9285 2.8291 5.8455
Sn La C
2 6 2
direct
0.2500 0.7500 0.5000 Sn
0.0000 0.0000 0.0000 Sn
0.6369 0.8772 0.2455 La
0.6928 0.6928 0.6144 La
0.1228 0.8824 0.7545 La
0.1176 0.8772 0.2455 La
0.3072 0.3072 0.3856 La
0.1228 0.3631 0.7545 La
0.8516 0.3516 0.2967 C
0.6484 0.1484 0.7033 C
```

Values from the calculation:
ΔE_f: 92 kJ/mol of atoms
SG: No. 119
Crystal system: tetragonal
Total magnetization: 0.37 μB per formula unit


Record 9
VASP calculation (PBE) on a relaxed YTlH3 crystal.

Structure (POSCAR):
```
YTlH3
1.0
4.0696 0.0000 0.0000
0.0000 4.0696 0.0000
0.0000 0.0000 4.0696
H Y Tl
3 1 1
direct
0.0000 0.0000 0.5000 H
0.0000 0.5000 0.0000 H
0.5000 0.0000 0.0000 H
0.5000 0.5000 0.5000 Y
0.0000 0.0000 0.0000 Tl
```

Values from the calculation:
VASP energy: -16.6 eV for the cell shown
SG: No. 221
Crystal system: cubic
Total magnetization: 0.00 μB per formula unit


Record 10
VASP calculation (PBE) on a relaxed CrInCl crystal.

Structure (POSCAR):
```
CrInCl
1.0
-1.0666 -2.8483 1.3821
2.7935 1.4540 1.1149
-4.0274 3.9224 4.9756
Cl Cr In
1 1 1
direct
0.0000 0.0000 0.0983 Cl
0.6667 0.3333 0.3012 Cr
0.3333 0.6667 0.6005 In
```

Values from the calculation:
VASP energy: -14.3 eV for the cell shown
SG: No. 156
Crystal system: trigonal
Total magnetization: 3.89 μB per formula unit


Record 11
VASP calculation (PBE) on a relaxed ZnGaSe crystal.

Structure (POSCAR):
```
ZnGaSe
1.0
3.7900 0.0000 0.0000
-1.8950 3.2822 0.0000
0.0000 0.0000 4.8957
Ga Zn Se
1 1 1
direct
0.3333 0.6667 0.0896 Ga
0.6667 0.3333 0.7436 Zn
0.0000 0.0000 0.4415 Se
```

Values from the calculation:
VASP energy: -8.5 eV for the cell shown
SG: No. 156
Crystal system: trigonal
Total magnetization: 0.00 μB per formula unit


Record 12
VASP calculation (PBE) on a relaxed Al2TlPd2 crystal.

Structure (POSCAR):
```
Al2TlPd2
1.0
3.9052 0.0000 0.0000
0.0000 3.9052 0.0000
1.9526 1.9526 6.1136
Pd Al Tl
2 2 1
direct
0.3813 0.3813 0.2375 Pd
0.6187 0.6187 0.7625 Pd
0.2500 0.7500 0.5000 Al
0.7500 0.2500 0.5000 Al
0.0000 0.0000 0.0000 Tl
```

Values from the calculation:
ΔE_f: -43 kJ/mol of atoms
SG: No. 139
Crystal system: tetragonal
Total magnetization: 0.00 μB per formula unit